Entry from Alexandria: Zr3TlBr after structural relaxation (PBE).

Calculated values
space group = Pm-3m (221)
E above lowest polymorph = 795 meV per atom
DFT total energy = -4.773 eV/atom
raw formation energy = 1.1633 eV/atom

Structure (POSCAR):
```
Zr3TlBr
1.0
5.428 0.000 0.000
0.000 5.428 0.000
0.000 0.000 5.428
Zr Tl Br
3 1 1
direct
0.000 0.000 0.500
0.000 0.500 0.000
0.500 0.000 0.000
0.000 0.000 0.000
0.500 0.500 0.500
```